# RbNaTlHg2 | Alexandria | PBE | relaxed
data_RbNaTlHg2
_cell_length_a 4.970
_cell_length_b 4.970
_cell_length_c 13.993
_cell_angle_alpha 90.00
_cell_angle_beta 90.00
_cell_angle_gamma 90.00
_space_group_name_H-M_alt 'I -4 m 2'
_space_group_IT_number 119
_space_group_name_Hall 'I -4 -2'
loop_
_atom_site_label
_atom_site_type_symbol
_atom_site_fract_x
_atom_site_fract_y
_atom_site_fract_z
Rb1 Rb 0.000 0.000 0.000
Na1 Na 0.000 0.500 0.750
Tl1 Tl 0.000 0.500 0.250
Hg1 Hg 0.000 0.000 0.392
# E_form   -0.935 eV per formula unit
# E_tot   -1.238 eV per atom